Here is a crystal of HPdIN2 relaxed with PBEsol from Alexandria via LeMat-Bulk. Energies are from SCAN.

a = 3.667 Å, b = 3.667 Å, c = 7.863 Å
α = 90.00°, β = 90.00°, γ = 90.00°
Positions (direct):
I (0.000, 0.000, 0.500)
H (0.500, 0.500, 0.500)
Pd (0.000, 0.000, 0.000)
N (0.500, 0.000, 0.000)
N (0.000, 0.500, 0.000)

- size of the total moment (μB/cell) = 0.01
- crystal system = tetragonal
- energy (Ry/atom) = -1.218
- density (Mg/m³) = 4.12

=====

Here is a crystal of H12PdI8N4 relaxed with PBEsol from Alexandria via LeMat-Bulk. Energies are from SCAN.

a = 8.494 Å, b = 9.374 Å, c = 12.705 Å
α = 103.12°, β = 90.00°, γ = 90.00°
Positions (direct):
H (0.020, 0.754, 0.816)
H (0.614, 0.626, 0.817)
H (0.381, 0.925, 0.294)
H (0.457, 0.352, 0.300)
H (0.386, 0.374, 0.183)
H (0.980, 0.246, 0.184)
H (0.043, 0.352, 0.300)
H (0.037, 0.949, 0.181)
H (0.520, 0.246, 0.184)
H (0.881, 0.075, 0.706)
H (0.486, 0.944, 0.700)
H (0.619, 0.075, 0.706)
H (0.886, 0.626, 0.817)
H (0.014, 0.944, 0.700)
H (0.480, 0.754, 0.816)
H (0.119, 0.925, 0.294)
H (0.963, 0.051, 0.819)
H (0.986, 0.056, 0.300)
H (0.537, 0.051, 0.819)
H (0.463, 0.949, 0.181)
H (0.543, 0.648, 0.700)
H (0.114, 0.374, 0.183)
H (0.514, 0.056, 0.300)
H (0.957, 0.648, 0.700)
I (0.250, 0.191, 0.905)
I (0.750, 0.604, 0.479)
I (0.250, 0.479, 0.853)
I (0.750, 0.809, 0.095)
I (0.750, 0.891, 0.446)
I (0.250, 0.902, 0.954)
I (0.250, 0.109, 0.554)
I (0.750, 0.521, 0.147)
I (0.250, 0.797, 0.598)
I (0.750, 0.402, 0.893)
I (0.250, 0.683, 0.336)
I (0.750, 0.098, 0.046)
I (0.750, 0.317, 0.664)
I (0.250, 0.598, 0.107)
I (0.250, 0.396, 0.521)
I (0.750, 0.203, 0.402)
Pd (0.250, 0.150, 0.239)
Pd (0.750, 0.850, 0.761)
N (0.920, 0.996, 0.745)
N (0.580, 0.996, 0.745)
N (0.420, 0.004, 0.255)
N (0.422, 0.296, 0.224)
N (0.078, 0.296, 0.224)
N (0.080, 0.004, 0.255)
N (0.578, 0.704, 0.776)
N (0.922, 0.704, 0.776)

- size of the total moment (μB/cell) = 0.00
- crystal system = monoclinic
- energy (Ry/atom) = -1.217
- density (Mg/m³) = 4.01

=====

Here is a crystal of HRhIN2 relaxed with PBEsol from Alexandria via LeMat-Bulk. Energies are from SCAN.

a = 3.537 Å, b = 3.900 Å, c = 3.900 Å
α = 90.00°, β = 90.00°, γ = 90.00°
Positions (direct):
Rh (0.500, 0.500, 0.500)
N (0.000, 0.500, 0.000)
N (0.000, 0.000, 0.500)
I (0.500, 0.000, 0.000)
H (0.000, 0.000, 0.000)

- size of the total moment (μB/cell) = 0.00
- crystal system = tetragonal
- energy (Ry/atom) = -1.190
- density (Mg/m³) = 7.99

=====

Here is a crystal of SnHI2N relaxed with PBEsol from Alexandria via LeMat-Bulk. Energies are from SCAN.

a = 2.991 Å, b = 6.195 Å, c = 6.195 Å
α = 90.00°, β = 90.00°, γ = 90.00°
Positions (direct):
N (0.500, 0.000, 0.000)
H (0.000, 0.000, 0.000)
I (0.000, 0.500, 0.000)
I (0.000, 0.000, 0.500)
Sn (0.500, 0.500, 0.500)

- size of the total moment (μB/cell) = 1.93
- crystal system = tetragonal
- energy (Ry/atom) = -1.726
- density (Mg/m³) = 5.61

=====

Here is a crystal of TaHI2N relaxed with PBEsol from Alexandria via LeMat-Bulk. Energies are from SCAN.

a = 3.140 Å, b = 5.072 Å, c = 5.072 Å
α = 90.00°, β = 90.00°, γ = 90.00°
Positions (direct):
I (0.000, 0.000, 0.500)
I (0.000, 0.500, 0.000)
Ta (0.500, 0.500, 0.500)
N (0.500, 0.000, 0.000)
H (0.000, 0.000, 0.000)

- size of the total moment (μB/cell) = 0.68
- crystal system = tetragonal
- energy (Ry/atom) = -2.134
- density (Mg/m³) = 9.25

=====

Here is a crystal of TiHIN2 relaxed with PBEsol from Alexandria via LeMat-Bulk. Energies are from SCAN.

a = 3.764 Å, b = 3.764 Å, c = 5.864 Å
α = 90.00°, β = 90.00°, γ = 90.00°
Positions (direct):
I (0.000, 0.000, 0.500)
H (0.500, 0.500, 0.500)
N (0.000, 0.500, 0.000)
N (0.500, 0.000, 0.000)
Ti (0.000, 0.000, 0.000)

- size of the total moment (μB/cell) = 0.00
- crystal system = tetragonal
- energy (Ry/atom) = -1.049
- density (Mg/m³) = 4.07

=====

Here is a crystal of NaVH2I2O9 relaxed with PBEsol from Alexandria via LeMat-Bulk. Energies are from SCAN.

a = 5.117 Å, b = 8.863 Å, c = 8.949 Å
α = 110.59°, β = 90.00°, γ = 90.00°
Positions (direct):
I (0.202, 0.673, 0.558)
I (0.117, 0.378, 0.813)
I (0.702, 0.327, 0.442)
I (0.617, 0.622, 0.187)
O (0.064, 0.222, 0.231)
O (0.362, 0.471, 0.070)
O (0.567, 0.123, 0.388)
O (0.896, 0.258, 0.657)
O (0.893, 0.874, 0.316)
O (0.530, 0.391, 0.282)
O (0.045, 0.256, 0.943)
O (0.862, 0.529, 0.930)
O (0.545, 0.744, 0.057)
O (0.957, 0.888, 0.965)
O (0.396, 0.742, 0.343)
O (0.393, 0.126, 0.684)
O (0.067, 0.877, 0.612)
O (0.564, 0.778, 0.769)
O (0.457, 0.112, 0.035)
O (0.451, 0.428, 0.588)
O (0.951, 0.572, 0.412)
O (0.030, 0.609, 0.718)
H (0.452, 0.127, 0.578)
H (0.952, 0.873, 0.422)
H (0.266, 0.032, 0.659)
H (0.766, 0.968, 0.341)
Na (0.248, 0.956, 0.184)
Na (0.748, 0.044, 0.816)
V (0.782, 0.729, 0.881)
V (0.282, 0.271, 0.119)

- size of the total moment (μB/cell) = 0.00
- crystal system = monoclinic
- energy (Ry/atom) = -0.863
- density (Mg/m³) = 4.14

=====

Here is a crystal of NaSbHI2 relaxed with PBEsol from Alexandria via LeMat-Bulk. Energies are from SCAN.

a = 3.928 Å, b = 5.694 Å, c = 5.694 Å
α = 90.00°, β = 90.00°, γ = 90.00°
Positions (direct):
I (0.000, 0.500, 0.000)
I (0.000, 0.000, 0.500)
Na (0.500, 0.500, 0.500)
H (0.000, 0.000, 0.000)
Sb (0.500, 0.000, 0.000)

- size of the total moment (μB/cell) = 0.00
- distance to the lowest polymorph of the same formula (meV/atom) = 0
- crystal system = tetragonal
- density (Mg/m³) = 5.21

=====

Here is a crystal of NaSbHI2 relaxed with PBEsol from Alexandria via LeMat-Bulk. Energies are from SCAN.

a = 5.829 Å, b = 5.829 Å, c = 5.773 Å
α = 90.00°, β = 90.00°, γ = 90.00°
Positions (direct):
H (0.500, 0.500, 0.500)
I (0.000, 0.500, 0.000)
I (0.500, 0.000, 0.000)
Sb (0.000, 0.000, 0.500)
Na (0.000, 0.000, 0.000)

- size of the total moment (μB/cell) = 3.25
- distance to the lowest polymorph of the same formula (meV/atom) = 801
- crystal system = tetragonal
- density (Mg/m³) = 3.38

=====

Here is a crystal of NbHI3 relaxed with PBEsol from Alexandria via LeMat-Bulk. Energies are from SCAN.

a = 4.885 Å, b = 4.885 Å, c = 4.885 Å
α = 90.00°, β = 90.00°, γ = 90.00°
Positions (direct):
H (0.000, 0.000, 0.000)
I (0.500, 0.000, 0.000)
I (0.000, 0.000, 0.500)
I (0.000, 0.500, 0.000)
Nb (0.500, 0.500, 0.500)

- size of the total moment (μB/cell) = 2.64
- crystal system = cubic
- energy (Ry/atom) = -2.083
- density (Mg/m³) = 6.76

=====

Here is a crystal of NbHI2 relaxed with PBEsol from Alexandria via LeMat-Bulk. Energies are from SCAN.

a = 5.932 Å, b = 6.717 Å, c = 5.932 Å
α = 63.79°, β = 90.00°, γ = 116.21°
Positions (direct):
H (0.250, 0.500, 0.250)
H (0.500, 0.000, 0.500)
Nb (0.000, 0.000, 0.000)
Nb (0.750, 0.500, 0.750)
I (0.875, 0.250, 0.566)
I (0.184, 0.750, 0.875)
I (0.566, 0.750, 0.375)
I (0.375, 0.250, 0.184)

- size of the total moment (μB/cell) = 4.01
- crystal system = tetragonal
- energy (Ry/atom) = -1.975
- density (Mg/m³) = 6.26

=====

Here is a crystal of Nb6HI11 relaxed with PBEsol from Alexandria via LeMat-Bulk. Energies are from SCAN.

a = 11.313 Å, b = 13.334 Å, c = 15.519 Å
α = 90.00°, β = 90.00°, γ = 90.00°
Positions (direct):
I (0.814, 0.799, 0.484)
I (0.314, 0.701, 0.984)
I (0.209, 0.687, 0.483)
I (0.804, 0.528, 0.354)
I (0.118, 0.720, 0.790)
I (0.031, 0.023, 0.392)
I (0.429, 0.242, 0.786)
I (0.657, 0.565, 0.611)
I (0.618, 0.280, 0.210)
I (0.856, 0.568, 0.887)
I (0.657, 0.065, 0.889)
I (0.670, 0.066, 0.384)
I (0.709, 0.313, 0.517)
I (0.429, 0.742, 0.714)
I (0.118, 0.220, 0.710)
I (0.531, 0.977, 0.608)
I (0.929, 0.258, 0.286)
I (0.170, 0.434, 0.884)
I (0.804, 0.028, 0.146)
I (0.298, 0.679, 0.228)
I (0.670, 0.566, 0.116)
I (0.298, 0.179, 0.272)
I (0.531, 0.477, 0.892)
I (0.929, 0.758, 0.214)
I (0.170, 0.934, 0.616)
I (0.814, 0.299, 0.016)
I (0.356, 0.432, 0.113)
I (0.157, 0.935, 0.111)
I (0.798, 0.321, 0.772)
I (0.798, 0.821, 0.728)
I (0.314, 0.201, 0.516)
I (0.157, 0.435, 0.389)
I (0.304, 0.972, 0.854)
I (0.961, 0.488, 0.592)
I (0.618, 0.780, 0.290)
I (0.709, 0.813, 0.983)
I (0.961, 0.988, 0.908)
I (0.856, 0.068, 0.613)
I (0.356, 0.932, 0.387)
I (0.461, 0.012, 0.092)
I (0.209, 0.187, 0.017)
I (0.304, 0.472, 0.646)
I (0.461, 0.512, 0.408)
I (0.031, 0.523, 0.108)
H (0.511, 0.249, 0.001)
H (0.011, 0.751, 0.999)
H (0.011, 0.251, 0.501)
H (0.511, 0.749, 0.499)
Nb (0.872, 0.672, 0.049)
Nb (0.429, 0.632, 0.558)
Nb (0.872, 0.172, 0.451)
Nb (0.084, 0.622, 0.951)
Nb (0.918, 0.777, 0.889)
Nb (0.584, 0.378, 0.049)
Nb (0.418, 0.723, 0.389)
Nb (0.134, 0.841, 0.943)
Nb (0.372, 0.328, 0.951)
Nb (0.918, 0.277, 0.611)
Nb (0.120, 0.224, 0.400)
Nb (0.429, 0.132, 0.942)
Nb (0.120, 0.724, 0.100)
Nb (0.584, 0.878, 0.451)
Nb (0.634, 0.159, 0.057)
Nb (0.620, 0.276, 0.900)
Nb (0.620, 0.776, 0.600)
Nb (0.418, 0.223, 0.111)
Nb (0.634, 0.659, 0.443)
Nb (0.372, 0.828, 0.549)
Nb (0.929, 0.868, 0.058)
Nb (0.134, 0.341, 0.557)
Nb (0.929, 0.368, 0.442)
Nb (0.084, 0.122, 0.549)

- size of the total moment (μB/cell) = 0.06
- distance to the lowest polymorph of the same formula (meV/atom) = 17
- crystal system = orthorhombic
- density (Mg/m³) = 5.55